1.
# BiAuN2F (PBE, optimized geometry)
data_BiAuN2F
_cell_length_a 4.3900
_cell_length_b 4.3723
_cell_length_c 4.3900
_cell_angle_alpha 90.00
_cell_angle_beta 90.00
_cell_angle_gamma 90.00
_space_group_name_H-M_alt 'P 1'
_space_group_IT_number 1
_space_group_name_Hall 'P 1'
loop_
_atom_site_label
_atom_site_fract_x
_atom_site_fract_y
_atom_site_fract_z
N1 0.0000 0.0000 0.5000
N2 0.5000 0.0000 0.0000
Au1 0.5000 0.5000 0.5000
Bi1 0.0000 0.0000 0.0000
F1 0.0000 0.5000 0.0000
# **SG**: P4/mmm
# **Crystal system**: tetragonal
# **DOS at the Fermi energy**: 1.8 states/eV per cell
# **V**: 84.27 Å³/cell
# **Raw total energy**: -20.3 eV for the cell shown

=====

2.
# CoTePbI2 (PBE, optimized geometry)
data_CoTePbI2
_cell_length_a 5.2999
_cell_length_b 5.2999
_cell_length_c 5.1520
_cell_angle_alpha 90.00
_cell_angle_beta 90.00
_cell_angle_gamma 90.00
_space_group_name_H-M_alt 'P 1'
_space_group_IT_number 1
_space_group_name_Hall 'P 1'
loop_
_atom_site_label
_atom_site_fract_x
_atom_site_fract_y
_atom_site_fract_z
Pb1 0.5000 0.5000 0.5000
I1 0.0000 0.5000 0.0000
I2 0.5000 0.0000 0.0000
Te1 0.0000 0.0000 0.5000
Co1 0.0000 0.0000 0.0000
# **SG**: P4/mmm
# **Crystal system**: tetragonal
# **DOS at the Fermi energy**: 5.3 states/eV per cell
# **V**: 144.72 Å³/cell
# **Raw total energy**: -16.4 eV for the cell shown